1.
A plane-wave DFT calculation with PBE-GGA was carried out for crystalline Ni4PtW at its relaxed geometry.

Properties
* spin magnetization: 0.00 Bohr magnetons per cell
* ΔH_f (0 K): -0.8 eV/f.u.
* space-group type: No. 216
* DOS(E_F): 4.72 states/eV/f.u.

Cell: 4.6930 4.6930 4.6930 Å, 60.00 60.00 60.00°
With the nearest neighbours (Å) after each atom.
Positions (direct):
Ni1 0.3747 0.3747 0.3747  6 Ni 2.34-2.35
Ni2 0.3747 0.8760 0.3747  6 Ni 2.34-2.35
Ni3 0.3747 0.3747 0.8760  6 Ni 2.34-2.35
Ni4 0.8760 0.3747 0.3747  6 Ni 2.34-2.35
Pt1 0.7500 0.7500 0.7500  12 Ni 2.75, 4 W 2.87
W1 0.0000 0.0000 0.0000  12 Ni 2.75, 4 Pt 2.87

=====

2.
A plane-wave DFT calculation with PBE-GGA was carried out for crystalline NiPtW2 at its relaxed geometry.

Properties
* energy above the lowest structure with this stoichiometry: 194 meV per atom
* spin magnetization: 0.00 Bohr magnetons per cell
* ΔH_f (0 K): 0.4 eV/f.u.
* space-group type: No. 166
* DOS(E_F): 4.54 states/eV/f.u.

Cell: 9.1176 9.1176 9.1176 Å, 17.45 17.45 17.45°
With the nearest neighbours (Å) after each atom.
Positions (direct):
Ni1 0.2500 0.2500 0.2500  6 W 2.67, 6 Ni 2.77
Pt1 0.7500 0.7500 0.7500  6 Pt 2.77, 6 W 2.84
W1 0.9962 0.9962 0.9962  3 Ni 2.67, 6 W 2.77, 3 Pt 2.84
W2 0.5038 0.5038 0.5038  3 Ni 2.67, 6 W 2.77, 3 Pt 2.84

=====

> What is the spin magnetization in the first record?

0.00 Bohr magnetons per cell

=====

> Which of these has the lowest ΔH_f (0 K)?

Ni4PtW